# YCrMo2, optimized geometry, DFT PBE-GGA
data_YCrMo2
_chemical_formula_sum 'Y2 Cr2 Mo4'
_symmetry_space_group_name_H-M 'C m m 2'
_symmetry_Int_Tables_number 35
_cell_length_a 3.233
_cell_length_b 4.706
_cell_length_c 9.090
_cell_angle_alpha 90.00
_cell_angle_beta 90.00
_cell_angle_gamma 90.00
loop_
_symmetry_equiv_pos_as_xyz
'x,y,z'
'-x,-y,z'
'-x,y,z'
'x,-y,z'
'x+1/2,y+1/2,z'
'-x+1/2,-y+1/2,z'
'-x+1/2,y+1/2,z'
'x+1/2,-y+1/2,z'
loop_
_atom_site_label
_atom_site_fract_x
_atom_site_fract_y
_atom_site_fract_z
Y1 0.000 0.000 0.000
Cr1 0.000 0.500 0.270
Mo1 0.000 0.000 0.477
Mo2 0.000 0.500 0.711
# distance to the lowest polymorph of the same formula: 143 meV/atom

***

# YCrMo, optimized geometry, DFT PBE-GGA
data_YCrMo
_chemical_formula_sum 'Y4 Cr4 Mo4'
_symmetry_space_group_name_H-M 'F m m 2'
_symmetry_Int_Tables_number 42
_symmetry_space_group_name_Hall 'F 2 -2'
_cell_length_a 3.275
_cell_length_b 5.012
_cell_length_c 13.506
_cell_angle_alpha 90.00
_cell_angle_beta 90.00
_cell_angle_gamma 90.00
loop_
_atom_site_label
_atom_site_fract_x
_atom_site_fract_y
_atom_site_fract_z
Y1 0.000 0.000 0.000
Cr1 0.000 0.000 0.681
Mo1 0.000 0.000 0.306
# distance to the lowest polymorph of the same formula: 212 meV/atom

***

# YCrMo3, optimized geometry, DFT PBE-GGA
data_YCrMo3
_chemical_formula_sum 'Y1 Cr1 Mo3'
_symmetry_space_group_name_H-M 'P m -3 m'
_symmetry_Int_Tables_number 221
_symmetry_space_group_name_Hall '-P 4 2 3'
_cell_length_a 4.718
_cell_length_b 4.718
_cell_length_c 4.718
_cell_angle_alpha 90.00
_cell_angle_beta 90.00
_cell_angle_gamma 90.00
loop_
_atom_site_label
_atom_site_fract_x
_atom_site_fract_y
_atom_site_fract_z
Y1 0.000 0.000 0.000
Cr1 0.500 0.500 0.500
Mo1 0.000 0.000 0.500
# distance to the lowest polymorph of the same formula: 2080 meV/atom

***

# YCrMo2, optimized geometry, DFT PBE-GGA
data_YCrMo2
_chemical_formula_sum 'Y2 Cr2 Mo4'
_symmetry_space_group_name_H-M 'C 1 2/m 1'
_symmetry_Int_Tables_number 12
_cell_length_a 10.392
_cell_length_b 3.152
_cell_length_c 4.756
_cell_angle_alpha 90.00
_cell_angle_beta 117.15
_cell_angle_gamma 90.00
loop_
_symmetry_equiv_pos_as_xyz
'x,y,z'
'-x,-y,-z'
'-x,y,-z'
'x,-y,z'
'x+1/2,y+1/2,z'
'-x+1/2,-y+1/2,-z'
'-x+1/2,y+1/2,-z'
'x+1/2,-y+1/2,z'
loop_
_atom_site_label
_atom_site_fract_x
_atom_site_fract_y
_atom_site_fract_z
Y1 0.000 0.000 0.000
Cr1 0.000 0.500 0.500
Mo1 0.227 0.000 0.727
# distance to the lowest polymorph of the same formula: 103 meV/atom

***

# YCrMo2, optimized geometry, DFT PBE-GGA
data_YCrMo2
_chemical_formula_sum 'Y2 Cr2 Mo4'
_symmetry_space_group_name_H-M 'C 1 m 1'
_symmetry_Int_Tables_number 8
_cell_length_a 9.657
_cell_length_b 3.223
_cell_length_c 5.203
_cell_angle_alpha 90.00
_cell_angle_beta 110.46
_cell_angle_gamma 90.00
loop_
_symmetry_equiv_pos_as_xyz
'x,y,z'
'x,-y,z'
'x+1/2,y+1/2,z'
'x+1/2,-y+1/2,z'
loop_
_atom_site_label
_atom_site_fract_x
_atom_site_fract_y
_atom_site_fract_z
Y1 0.000 0.000 0.000
Cr1 0.223 0.000 0.649
Mo1 0.013 0.500 0.512
Mo2 0.283 0.500 0.349
# distance to the lowest polymorph of the same formula: 146 meV/atom

***

# YCrMo2, optimized geometry, DFT PBE-GGA
data_YCrMo2
_chemical_formula_sum 'Y2 Cr2 Mo4'
_symmetry_space_group_name_H-M 'I 4/m m m'
_symmetry_Int_Tables_number 139
_symmetry_space_group_name_Hall '-I 4 2'
_cell_length_a 3.907
_cell_length_b 3.907
_cell_length_c 9.553
_cell_angle_alpha 90.00
_cell_angle_beta 90.00
_cell_angle_gamma 90.00
loop_
_atom_site_label
_atom_site_fract_x
_atom_site_fract_y
_atom_site_fract_z
Y1 0.000 0.000 0.000
Cr1 0.000 0.000 0.500
Mo1 0.000 0.500 0.250
# distance to the lowest polymorph of the same formula: 270 meV/atom

***

Short version: calculated formation energy = 1.83; 1.62; 14.44; 1.68; 1.85; 2.34 eV per formula unit, in the order given.